ZnCdCu2 PBEsol relaxed; DFT formation energy = 0.029 eV per atom; symmetry = I-4m2 (119); DFT total energy = -2.8326 eV/atom
1.0
-1.885 1.885 3.917
1.885 -1.885 3.917
1.885 1.885 -3.917
Zn Cd Cu
1 1 2
Direct
0.000 0.000 0.000 Zn
0.750 0.250 0.500 Cd
0.250 0.750 0.500 Cu
0.500 0.500 0.000 Cu

CuSb PBEsol relaxed; symmetry = P4/nmm (129); formation energy without anion corrections = 87.6 meV per atom; DFT total energy = -4.3581 eV/atom
1.0
3.194 0.000 0.000
0.000 3.194 0.000
0.000 0.000 7.541
Cu Sb
2 2
Direct
0.250 0.250 0.074 Cu
0.750 0.750 0.926 Cu
0.250 0.250 0.709 Sb
0.750 0.750 0.291 Sb

Ca2MgWO6 PBEsol relaxed; symmetry = P2_1/c (14); formation energy without anion corrections = -2797.0 meV per atom; DFT total energy = -7.9257 eV/atom
1.0
5.391 0.000 0.000
0.000 5.560 0.000
-5.365 0.000 7.695
Ca Mg W O
4 2 2 12
Direct
0.234 0.053 0.247 Ca
0.234 0.447 0.747 Ca
0.766 0.553 0.253 Ca
0.766 0.947 0.753 Ca
0.000 0.000 0.500 Mg
0.000 0.500 0.000 Mg
0.500 0.000 0.000 W
0.500 0.500 0.500 W
0.167 0.195 0.955 O
0.167 0.305 0.455 O
0.257 0.716 0.949 O
0.257 0.784 0.449 O
0.351 0.029 0.759 O
0.351 0.471 0.259 O
0.649 0.529 0.741 O
0.649 0.971 0.241 O
0.743 0.216 0.551 O
0.743 0.284 0.051 O
0.833 0.695 0.545 O
0.833 0.805 0.045 O

GaPdOF2 PBEsol relaxed; symmetry = P4/mmm (123); formation energy without anion corrections = -1205.5 meV per atom; DFT total energy = -4.8860 eV/atom; polymorph energy (0 for the lowest one) = 0 meV/atom
1.0
3.914 0.000 0.000
0.000 3.914 0.000
0.000 0.000 3.736
Ga Pd O F
1 1 1 2
Direct
0.000 0.000 0.000 Ga
0.500 0.500 0.500 Pd
0.000 0.000 0.500 O
0.000 0.500 0.000 F
0.500 0.000 0.000 F

KPRu3 PBEsol relaxed; DFT formation energy = 0.746 eV per atom; symmetry = Pm-3m (221); DFT total energy = -6.7419 eV/atom
1.0
4.436 0.000 0.000
0.000 4.436 0.000
0.000 0.000 4.436
K P Ru
1 1 3
Direct
0.000 0.000 0.000 K
0.500 0.500 0.500 P
0.000 0.500 0.500 Ru
0.500 0.000 0.500 Ru
0.500 0.500 0.000 Ru

HfCdF3 PBEsol relaxed; symmetry = Pm-3m (221); formation energy without anion corrections = -2265.9 meV per atom; DFT total energy = -5.7624 eV/atom
1.0
4.256 0.000 0.000
0.000 4.256 0.000
0.000 0.000 4.256
Hf Cd F
1 1 3
Direct
0.000 0.000 0.000 Hf
0.500 0.500 0.500 Cd
0.000 0.000 0.500 F
0.000 0.500 0.000 F
0.500 0.000 0.000 F

TcPd3N PBEsol relaxed; symmetry = Pm-3m (221); formation energy without anion corrections = 634.1 meV per atom; DFT total energy = -6.8998 eV/atom
1.0
4.101 0.000 0.000
0.000 4.101 0.000
0.000 0.000 4.101
Tc Pd N
1 3 1
Direct
0.000 0.000 0.000 Tc
0.000 0.500 0.500 Pd
0.500 0.000 0.500 Pd
0.500 0.500 0.000 Pd
0.500 0.500 0.500 N

SrMnPt PBEsol relaxed; DFT formation energy = -0.127 eV per atom; symmetry = P-6m2 (187); DFT total energy = -6.3158 eV/atom
1.0
4.201 0.000 0.000
-2.100 3.638 0.000
0.000 0.000 4.556
Sr Mn Pt
1 1 1
Direct
0.000 0.000 0.000 Sr
0.333 0.667 0.500 Mn
0.667 0.333 0.500 Pt

BTe2SN PBEsol relaxed; symmetry = P4/mmm (123); formation energy without anion corrections = 378.7 meV per atom; DFT total energy = -5.0172 eV/atom; polymorph energy (0 for the lowest one) = 0 meV/atom
1.0
5.929 0.000 0.000
0.000 5.929 0.000
0.000 0.000 2.736
B Te S N
1 2 1 1
Direct
0.000 0.000 0.000 B
0.000 0.500 0.000 Te
0.500 0.000 0.000 Te
0.500 0.500 0.500 S
0.000 0.000 0.500 N

Li4Mn2TeWO12 PBEsol relaxed; symmetry = P1 (1); formation energy without anion corrections = -1799.2 meV per atom; DFT total energy = -7.1849 eV/atom
1.0
4.992 0.000 0.000
0.001 5.229 0.000
0.007 0.462 7.214
Li Mn Te W O
4 2 1 1 12
Direct
0.000 0.000 0.000 Li
0.007 0.002 0.493 Li
0.495 0.493 0.999 Li
0.503 0.498 0.494 Li
0.002 0.567 0.282 Mn
0.500 0.070 0.781 Mn
0.000 0.570 0.782 Te
0.502 0.066 0.281 W
0.132 0.593 0.531 O
0.186 0.887 0.233 O
0.200 0.268 0.861 O
0.308 0.775 0.857 O
0.309 0.390 0.234 O
0.389 0.083 0.539 O
0.616 0.085 0.033 O
0.675 0.394 0.726 O
0.700 0.768 0.346 O
0.809 0.274 0.344 O
0.819 0.898 0.726 O
0.872 0.590 0.037 O

Ho2Si3Rh PBEsol relaxed; symmetry = P6_3/mmc (194); formation energy without anion corrections = -984.1 meV per atom; DFT total energy = -6.8639 eV/atom
1.0
8.089 0.000 0.000
-4.045 7.006 0.000
0.000 0.000 7.685
Ho Si Rh
8 12 4
Direct
0.000 0.000 0.250 Ho
0.000 0.000 0.750 Ho
0.019 0.510 0.250 Ho
0.490 0.510 0.250 Ho
0.490 0.981 0.250 Ho
0.510 0.019 0.750 Ho
0.510 0.490 0.750 Ho
0.981 0.490 0.750 Ho
0.167 0.334 0.502 Si
0.167 0.334 0.998 Si
0.167 0.833 0.502 Si
0.167 0.833 0.998 Si
0.334 0.167 0.002 Si
0.334 0.167 0.498 Si
0.666 0.833 0.502 Si
0.666 0.833 0.998 Si
0.833 0.167 0.002 Si
0.833 0.167 0.498 Si
0.833 0.666 0.002 Si
0.833 0.666 0.498 Si
0.333 0.667 0.537 Rh
0.333 0.667 0.963 Rh
0.667 0.333 0.037 Rh
0.667 0.333 0.463 Rh

Tm3Al5O12 PBEsol relaxed; symmetry = Ia-3d (230); formation energy without anion corrections = -3357.3 meV per atom; DFT total energy = -8.2646 eV/atom
1.0
-5.946 5.946 5.946
5.946 -5.946 5.946
5.946 5.946 -5.946
Tm Al O
12 20 48
Direct
0.125 0.250 0.375 Tm
0.125 0.375 0.750 Tm
0.250 0.375 0.125 Tm
0.250 0.875 0.625 Tm
0.375 0.125 0.250 Tm
0.375 0.750 0.125 Tm
0.625 0.250 0.875 Tm
0.625 0.875 0.750 Tm
0.750 0.125 0.375 Tm
0.750 0.625 0.875 Tm
0.875 0.625 0.250 Tm
0.875 0.750 0.625 Tm
0.000 0.000 0.000 Al
0.000 0.000 0.500 Al
0.000 0.500 0.000 Al
0.000 0.500 0.500 Al
0.125 0.750 0.875 Al
0.125 0.875 0.250 Al
0.250 0.125 0.875 Al
0.250 0.625 0.375 Al
0.375 0.250 0.625 Al
0.375 0.625 0.750 Al
0.500 0.000 0.000 Al
0.500 0.000 0.500 Al
0.500 0.500 0.000 Al
0.500 0.500 0.500 Al
0.625 0.375 0.250 Al
0.625 0.750 0.375 Al
0.750 0.375 0.625 Al
0.750 0.875 0.125 Al
0.875 0.125 0.750 Al
0.875 0.250 0.125 Al
0.024 0.203 0.120 O
0.024 0.321 0.904 O
0.082 0.703 0.679 O
0.082 0.880 0.404 O
0.096 0.620 0.418 O
0.096 0.976 0.679 O
0.120 0.024 0.203 O
0.120 0.596 0.918 O
0.179 0.203 0.582 O
0.179 0.476 0.596 O
0.203 0.120 0.024 O
0.203 0.582 0.179 O
0.297 0.321 0.918 O
0.297 0.476 0.380 O
0.321 0.904 0.024 O
0.321 0.918 0.297 O
0.380 0.297 0.476 O
0.380 0.582 0.904 O
0.404 0.082 0.880 O
0.404 0.821 0.524 O
0.418 0.096 0.620 O
0.418 0.821 0.797 O
0.476 0.380 0.297 O
0.476 0.596 0.179 O
0.524 0.404 0.821 O
0.524 0.620 0.703 O
0.582 0.179 0.203 O
0.582 0.904 0.380 O
0.596 0.179 0.476 O
0.596 0.918 0.120 O
0.620 0.418 0.096 O
0.620 0.703 0.524 O
0.679 0.082 0.703 O
0.679 0.096 0.976 O
0.703 0.524 0.620 O
0.703 0.679 0.082 O
0.797 0.418 0.821 O
0.797 0.880 0.976 O
0.821 0.524 0.404 O
0.821 0.797 0.418 O
0.880 0.404 0.082 O
0.880 0.976 0.797 O
0.904 0.024 0.321 O
0.904 0.380 0.582 O
0.918 0.120 0.596 O
0.918 0.297 0.321 O
0.976 0.679 0.096 O
0.976 0.797 0.880 O